(1)
Entry from Alexandria via LeMat-Bulk: crystalline Ac5CoPd2 at its relaxed geometry (PBE-GGA).

Cell lengths 5.318, 10.361, 20.072 Å; angles 90.00, 90.00, 90.00 degrees
Fractional positions:
Ac 0.250 0.457 0.308
Ac 0.250 0.433 0.061
Ac 0.250 0.343 0.860
Ac 0.250 0.353 0.490
Ac 0.750 0.243 0.177
Ac 0.250 0.257 0.677
Ac 0.750 0.147 0.990
Ac 0.750 0.157 0.360
Ac 0.750 0.067 0.561
Ac 0.750 0.043 0.808
Ac 0.250 0.957 0.192
Ac 0.250 0.933 0.439
Ac 0.250 0.843 0.640
Ac 0.250 0.853 0.010
Ac 0.750 0.743 0.323
Ac 0.250 0.757 0.823
Ac 0.750 0.647 0.510
Ac 0.750 0.657 0.140
Ac 0.750 0.567 0.939
Ac 0.750 0.543 0.692
Co 0.750 0.395 0.062
Co 0.250 0.105 0.562
Co 0.750 0.895 0.438
Co 0.250 0.605 0.938
Pd 0.750 0.450 0.398
Pd 0.750 0.315 0.774
Pd 0.250 0.185 0.274
Pd 0.250 0.050 0.898
Pd 0.750 0.950 0.102
Pd 0.750 0.815 0.726
Pd 0.250 0.685 0.226
Pd 0.250 0.550 0.602

Values from the calculation:
E_form	-0.350	eV per atom
DOS at the Fermi energy	7.155	states/eV/f.u.
magnetization	0.00	μB per cell

(2)
Entry from Alexandria via LeMat-Bulk: crystalline Ac6Co2Pd at its relaxed geometry (PBE-GGA).

Cell lengths 6.935, 7.446, 7.446 Å; angles 120.00, 90.00, 90.00 degrees
Fractional positions:
Ac 0.273 0.651 0.000
Ac 0.273 0.349 0.349
Ac 0.273 0.000 0.651
Ac 0.727 0.349 0.000
Ac 0.727 0.651 0.651
Ac 0.727 0.000 0.349
Co 0.500 0.333 0.667
Co 0.500 0.667 0.333
Pd 0.500 0.000 0.000

Values from the calculation:
E_form	-0.195	eV per atom
DOS at the Fermi energy	8.544	states/eV/f.u.
magnetization	0.00	μB per cell

(3)
Entry from Alexandria via LeMat-Bulk: crystalline Ac4CoPd at its relaxed geometry (PBE-GGA).

Cell lengths 6.831, 7.545, 7.722 Å; angles 90.00, 90.54, 90.00 degrees
Fractional positions:
Ac 0.110 0.250 0.382
Ac 0.890 0.750 0.618
Ac 0.925 0.250 0.896
Ac 0.075 0.750 0.104
Ac 0.573 0.999 0.236
Ac 0.427 0.499 0.764
Ac 0.573 0.501 0.236
Ac 0.427 0.001 0.764
Co 0.313 0.250 0.055
Co 0.687 0.750 0.945
Pd 0.700 0.250 0.546
Pd 0.300 0.750 0.454

Values from the calculation:
E_form	-0.279	eV per atom
DOS at the Fermi energy	6.301	states/eV/f.u.
magnetization	0.00	μB per cell

(4)
Entry from Alexandria via LeMat-Bulk: crystalline Ac12Co5Pd at its relaxed geometry (PBE-GGA).

Cell lengths 7.402, 7.402, 13.794 Å; angles 95.25, 95.25, 119.95 degrees
Fractional positions:
Ac 0.204 0.204 0.612
Ac 0.796 0.796 0.388
Ac 0.390 0.390 0.117
Ac 0.610 0.610 0.883
Ac 0.690 0.040 0.117
Ac 0.960 0.310 0.883
Ac 0.040 0.690 0.117
Ac 0.310 0.960 0.883
Ac 0.461 0.128 0.388
Ac 0.128 0.461 0.388
Ac 0.872 0.539 0.612
Ac 0.539 0.872 0.612
Co 0.500 0.500 0.500
Co 0.833 0.167 0.500
Co 0.167 0.833 0.500
Co 0.333 0.667 0.000
Co 0.667 0.333 0.000
Pd 0.000 0.000 0.000

Values from the calculation:
E_form	-0.115	eV per atom
DOS at the Fermi energy	17.855	states/eV/f.u.
magnetization	0.00	μB per cell